1.
Here is an optimized crystal structure of Dy12Tm2In from Alexandria via LeMat-Bulk. Energies are from GGA-PBE.

Cell lengths 6.6189, 6.6189, 23.8833 Å; angles 85.52, 94.48, 64.47 degrees
Fractional positions:
Dy 0.6094 0.4602 0.8063
Dy 0.0398 0.8906 0.8063
Dy 0.7558 0.7442 0.8990
Dy 0.3249 0.6322 0.9353
Dy 0.0456 0.9727 0.3252
Dy 0.1751 0.8678 0.0647
Dy 0.6648 0.3577 0.5568
Dy 0.5273 0.4544 0.3252
Dy 0.2356 0.2644 0.8492
Dy 0.7442 0.7558 0.1010
Dy 0.1742 0.3258 0.5800
Dy 0.8352 0.1423 0.4432
Dy 0.9727 0.0456 0.6748
Dy 0.3258 0.1742 0.4200
Dy 0.2644 0.2356 0.1508
Dy 0.8515 0.6485 0.4270
Dy 0.6485 0.8515 0.5730
Dy 0.8906 0.0398 0.1937
Dy 0.1423 0.8352 0.5568
Dy 0.4544 0.5273 0.6748
Dy 0.8678 0.1751 0.9353
Dy 0.4602 0.6094 0.1937
Dy 0.3577 0.6648 0.4432
Dy 0.6322 0.3249 0.0647
Tm 0.5246 0.9754 0.2874
Tm 0.0016 0.4984 0.2659
Tm 0.9754 0.5246 0.7126
Tm 0.4984 0.0016 0.7341
In 0.4432 0.0568 0.9826
In 0.0568 0.4432 0.0174

ΔE_f, eV per atom: 0.0504

---

2.
Here is an optimized crystal structure of Th3TeRu from Alexandria via LeMat-Bulk. Energies are from GGA-PBE.

Cell lengths 4.3849, 6.3312, 11.0564 Å; angles 90.00, 90.00, 110.27 degrees
Fractional positions:
Th 0.8510 0.7027 0.5483
Th 0.1490 0.2973 0.4517
Th 0.1490 0.2973 0.0483
Th 0.8510 0.7027 0.9517
Th 0.4679 0.9349 0.2500
Th 0.5321 0.0651 0.7500
Te 0.7549 0.5086 0.2500
Te 0.2452 0.4914 0.7500
Ru 0.5000 0.0000 0.0000
Ru 0.5000 0.0000 0.5000

Uncorrected energy, eV per atom: -7.574

---

3.
Here is an optimized crystal structure of CaHf3Nb from Alexandria via LeMat-Bulk. Energies are from GGA-PBE.

Cell lengths 5.1941, 5.1941, 5.1941 Å; angles 90.00, 90.00, 90.00 degrees
Fractional positions:
Nb 0.0000 0.0000 0.0000
Hf 0.0000 0.5000 0.0000
Hf 0.0000 0.0000 0.5000
Hf 0.5000 0.0000 0.0000
Ca 0.5000 0.5000 0.5000

Excess energy over the best structure of this formula in the dataset, eV/atom: 0.000
ΔE_f, eV per atom: 0.7660